No. 1
16
Lattice="6.4946 0.0000 0.0000 0.0000 6.6483 0.0000 0.0000 0.0000 5.1492" Properties=species:S:1:pos:R:3 comment="GdSiNO (PBE, optimized geometry)" magmom_total_mub_per_atom=0.000 total_energy_ev_per_cell=-119.65 space_group="Pca2_1, No. 29" de_polymorph_kj_per_mol_atoms=4.4 vol_a3_per_atom=13.9 pbc="T T T"
Gd 0.3626 1.1749 0.0000
Gd 2.8847 1.1749 2.5746
Gd 3.6099 5.4735 0.0000
Gd 6.1320 5.4735 2.5746
Si 0.6045 4.4020 5.1411
Si 2.6429 4.4020 2.5666
Si 3.8518 2.2463 5.1411
Si 5.8902 2.2463 2.5666
N 0.5659 0.9525 2.7268
N 2.6815 0.9525 0.1523
N 3.8132 5.6958 2.7268
N 5.9288 5.6958 0.1523
O 0.1146 3.2495 1.2461
O 3.1327 3.2495 3.8207
O 3.3619 3.3988 1.2461
O 6.3800 3.3988 3.8207

***

No. 2
16
Lattice="5.2887 0.0000 0.0000 0.0000 8.2826 0.0000 0.0000 0.0000 4.8990" Properties=species:S:1:pos:R:3 comment="GdSiNO (PBE, optimized geometry)" magmom_total_mub_per_atom=0.000 total_energy_ev_per_cell=-118.18 space_group="Pca2_1, No. 29" de_polymorph_kj_per_mol_atoms=13.2 vol_a3_per_atom=13.4 pbc="T T T"
Gd 0.0416 1.1221 0.0000
Gd 2.6027 1.1221 2.4495
Gd 2.6859 7.1605 0.0000
Gd 5.2471 7.1605 2.4495
Si 0.4379 4.8676 4.6356
Si 2.2064 4.8676 2.1861
Si 3.0822 3.4150 4.6356
Si 4.8508 3.4150 2.1861
N 0.6128 4.6223 2.8941
N 2.0315 4.6223 0.4446
N 3.2571 3.6603 2.8941
N 4.6758 3.6603 0.4446
O 0.1243 1.9286 2.4623
O 2.5201 1.9286 0.0128
O 2.7686 6.3540 2.4623
O 5.1644 6.3540 0.0128

***

No. 3
8
Lattice="3.7583 0.0000 0.0000 0.0000 4.8770 0.0000 0.0000 0.0000 5.2823" Properties=species:S:1:pos:R:3 comment="GdSiNO (PBE, optimized geometry)" magmom_total_mub_per_atom=0.000 total_energy_ev_per_cell=-60.19 space_group="Pmc2_1, No. 26" de_polymorph_kj_per_mol_atoms=0.0 vol_a3_per_atom=12.1 pbc="T T T"
Gd 0.0000 1.1774 0.0000
Gd 0.0000 3.6996 2.6412
Si 1.8791 1.2082 2.6395
Si 1.8791 3.6688 5.2807
N 1.8791 0.0044 3.9634
N 1.8791 4.8726 1.3222
O 0.0000 1.3607 2.6355
O 0.0000 3.5163 5.2766

***

No. 4
8
Lattice="3.6389 0.0000 0.0000 0.0000 5.9845 0.0000 0.0000 0.0000 5.8165" Properties=species:S:1:pos:R:3 comment="GdTaNO (PBE, optimized geometry)" magmom_total_mub_per_atom=0.005 total_energy_ev_per_cell=-71.56 space_group="Pmc2_1, No. 26" de_polymorph_kj_per_mol_atoms=22.7 vol_a3_per_atom=15.8 pbc="T T T"
Gd 0.0000 0.9907 0.0000
Gd 0.0000 4.9938 2.9083
Ta 1.8195 1.8371 3.0384
Ta 1.8195 4.1474 0.1302
N 1.8195 2.4183 4.9083
N 1.8195 3.5662 2.0001
O 0.0000 1.3348 2.2913
O 0.0000 4.6497 5.1996

***

No. 5
8
Lattice="4.0694 0.0000 0.0000 0.0000 5.3565 0.0000 0.0000 0.0000 5.1205" Properties=species:S:1:pos:R:3 comment="GdTaNO (PBE, optimized geometry)" magmom_total_mub_per_atom=0.000 total_energy_ev_per_cell=-73.30 space_group="Pmc2_1, No. 26" de_polymorph_kj_per_mol_atoms=1.7 vol_a3_per_atom=14.0 pbc="T T T"
Gd 0.0000 1.2453 0.0000
Gd 0.0000 4.1112 2.5603
Ta 2.0347 1.6016 2.5752
Ta 2.0347 3.7550 0.0149
N 0.0000 1.6444 2.5707
N 0.0000 3.7121 0.0104
O 2.0347 0.0506 3.9254
O 2.0347 5.3059 1.3651

***

No. 6
16
Lattice="6.5470 0.0000 0.0000 0.0000 7.6886 0.0000 0.0000 0.0000 4.5743" Properties=species:S:1:pos:R:3 comment="GdTaNO (PBE, optimized geometry)" magmom_total_mub_per_atom=0.000 total_energy_ev_per_cell=-146.47 space_group="Pca2_1, No. 29" de_polymorph_kj_per_mol_atoms=2.5 vol_a3_per_atom=14.4 pbc="T T T"
Gd 0.2954 0.9964 0.0000
Gd 2.9781 0.9964 2.2871
Gd 3.5689 6.6922 0.0000
Gd 6.2516 6.6922 2.2871
Ta 0.7108 4.8569 0.0023
Ta 2.5628 4.8569 2.2894
Ta 3.9843 2.8316 0.0023
Ta 5.8363 2.8316 2.2894
N 0.5272 4.4929 2.2926
N 2.7464 4.4929 0.0055
N 3.8007 3.1956 2.2926
N 6.0199 3.1956 0.0055
O 0.6432 1.2179 2.2864
O 2.6303 1.2179 4.5736
O 3.9167 6.4707 2.2864
O 5.9039 6.4707 4.5736

***

No. 7
8
Lattice="4.0249 0.0000 0.0000 0.0000 4.0249 0.0000 0.0000 0.0000 8.0729" Properties=species:S:1:pos:R:3 comment="GdTaNO (PBE, optimized geometry)" magmom_total_mub_per_atom=0.000 total_energy_ev_per_cell=-73.44 space_group="P4/nmm, No. 129" de_polymorph_kj_per_mol_atoms=0.0 vol_a3_per_atom=16.3 pbc="T T T"
Gd 1.0062 1.0062 1.0570
Gd 3.0187 3.0187 7.0159
Ta 1.0062 3.0187 4.0365
Ta 3.0187 1.0062 4.0365
N 1.0062 1.0062 4.6526
N 3.0187 3.0187 3.4203
O 1.0062 3.0187 0.0000
O 3.0187 1.0062 0.0000

***

No. 8
8
Lattice="4.4224 0.0000 0.0000 0.0000 4.4224 0.0000 0.0000 0.0000 5.8335" Properties=species:S:1:pos:R:3 comment="GdTaNO (PBE, optimized geometry)" magmom_total_mub_per_atom=0.012 total_energy_ev_per_cell=-69.38 space_group="P4/nmm, No. 129" de_polymorph_kj_per_mol_atoms=49.1 vol_a3_per_atom=14.3 pbc="T T T"
Gd 1.1056 3.3168 0.0000
Gd 3.3168 1.1056 0.0000
Ta 1.1056 1.1056 2.7648
Ta 3.3168 3.3168 3.0687
N 1.1056 1.1056 0.8320
N 3.3168 3.3168 5.0015
O 1.1056 3.3168 2.9168
O 3.3168 1.1056 2.9168